No. 1
{"formula": "CsUIr", "functional": "PBE-GGA", "state": "relaxed", "energy_ev_per_atom": -5.771, "spacegroup": "F-43m (216)", "crystal_system": "cubic", "lattice": [[0.000, 3.420, 3.420], [3.420, 0.000, 3.420], [3.420, 3.420, 0.000]], "species": ["Cs", "U", "Ir"], "frac_coords": [[0.000, 0.000, 0.000], [0.250, 0.250, 0.250], [0.500, 0.500, 0.500]]}

=====

No. 2
{"formula": "SmHoNi8B2", "functional": "PBE-GGA", "state": "relaxed", "energy_ev_per_atom": -6.063, "spacegroup": "P6/mmm (191)", "crystal_system": "hexagonal", "de_polymorph_ev_per_atom": 0.023, "lattice": [[5.010, 0.000, 0.000], [-2.505, 4.339, 0.000], [0.000, 0.000, 6.977]], "species": ["Sm", "Ho", "Ni", "Ni", "Ni", "Ni", "Ni", "Ni", "Ni", "Ni", "B", "B"], "frac_coords": [[0.000, 0.000, 0.000], [0.000, 0.000, 0.500], [0.000, 0.500, 0.209], [0.000, 0.500, 0.791], [0.333, 0.667, 0.500], [0.500, 0.000, 0.209], [0.500, 0.000, 0.791], [0.500, 0.500, 0.209], [0.500, 0.500, 0.791], [0.667, 0.333, 0.500], [0.333, 0.667, 0.000], [0.667, 0.333, 0.000]]}

=====

No. 3
{"formula": "ZrTlAsO", "functional": "PBE-GGA", "state": "relaxed", "energy_ev_per_atom": -6.360, "spacegroup": "Pmc2_1 (26)", "crystal_system": "orthorhombic", "de_polymorph_ev_per_atom": 0.002, "lattice": [[4.088, 0.000, 0.000], [0.000, 8.342, 0.000], [0.000, 0.000, 6.488]], "species": ["Zr", "Zr", "Tl", "Tl", "As", "As", "O", "O"], "frac_coords": [[0.000, 0.114, 0.000], [0.000, 0.886, 0.500], [0.500, 0.331, 0.421], [0.500, 0.669, 0.921], [0.500, 0.297, 0.917], [0.500, 0.703, 0.417], [0.000, 0.071, 0.305], [0.000, 0.929, 0.805]]}

=====

No. 4
{"formula": "TlAg", "functional": "PBE-GGA", "state": "relaxed", "energy_ev_per_atom": -2.428, "spacegroup": "P-6m2 (187)", "crystal_system": "hexagonal", "lattice": [[3.270, 0.000, 0.000], [-1.635, 2.832, 0.000], [0.000, 0.000, 4.913]], "species": ["Tl", "Ag"], "frac_coords": [[0.000, 0.000, 0.000], [0.333, 0.667, 0.500]]}

=====

No. 5
{"formula": "Sc2FeBi", "functional": "PBE-GGA", "state": "relaxed", "energy_ev_per_atom": -6.166, "spacegroup": "F-43m (216)", "crystal_system": "cubic", "lattice": [[0.000, 3.362, 3.362], [3.362, 0.000, 3.362], [3.362, 3.362, 0.000]], "species": ["Sc", "Sc", "Fe", "Bi"], "frac_coords": [[0.000, 0.000, 0.000], [0.250, 0.250, 0.250], [0.500, 0.500, 0.500], [0.750, 0.750, 0.750]]}

=====

No. 6
{"formula": "Pd15Pb", "functional": "PBE-GGA", "state": "relaxed", "energy_ev_per_atom": -5.083, "spacegroup": "P2/c (13)", "crystal_system": "monoclinic", "de_polymorph_ev_per_atom": 0.020, "lattice": [[4.771, 0.000, 0.000], [0.000, 34.743, 0.000], [-1.531, 0.000, 4.518]], "species": ["Pd", "Pd", "Pd", "Pd", "Pd", "Pd", "Pd", "Pd", "Pd", "Pd", "Pd", "Pd", "Pd", "Pd", "Pd", "Pd", "Pd", "Pd", "Pd", "Pd", "Pd", "Pd", "Pd", "Pd", "Pd", "Pd", "Pd", "Pd", "Pd", "Pd", "Pb", "Pb"], "frac_coords": [[0.000, 0.020, 0.250], [0.000, 0.061, 0.750], [0.000, 0.101, 0.250], [0.000, 0.142, 0.750], [0.000, 0.182, 0.250], [0.000, 0.223, 0.750], [0.000, 0.265, 0.250], [0.000, 0.305, 0.750], [0.000, 0.695, 0.250], [0.000, 0.735, 0.750], [0.000, 0.777, 0.250], [0.000, 0.818, 0.750], [0.000, 0.858, 0.250], [0.000, 0.899, 0.750], [0.000, 0.939, 0.250], [0.000, 0.980, 0.750], [0.500, 0.020, 0.750], [0.500, 0.061, 0.250], [0.500, 0.101, 0.750], [0.500, 0.142, 0.250], [0.500, 0.182, 0.750], [0.500, 0.223, 0.250], [0.500, 0.265, 0.750], [0.500, 0.735, 0.250], [0.500, 0.777, 0.750], [0.500, 0.818, 0.250], [0.500, 0.858, 0.750], [0.500, 0.899, 0.250], [0.500, 0.939, 0.750], [0.500, 0.980, 0.250], [0.500, 0.312, 0.250], [0.500, 0.688, 0.750]]}

=====

No. 7
{"formula": "NdSi", "functional": "PBE-GGA", "state": "relaxed", "energy_ev_per_atom": -4.791, "spacegroup": "F-43m (216)", "crystal_system": "cubic", "lattice": [[0.000, 3.329, 3.329], [3.329, 0.000, 3.329], [3.329, 3.329, 0.000]], "species": ["Nd", "Si"], "frac_coords": [[0.000, 0.000, 0.000], [0.750, 0.750, 0.750]]}

=====

No. 8
{"formula": "LiCuSiTc", "functional": "PBE-GGA", "state": "relaxed", "energy_ev_per_atom": -5.090, "spacegroup": "F-43m (216)", "crystal_system": "cubic", "de_polymorph_ev_per_atom": 0.421, "lattice": [[0.000, 2.912, 2.912], [2.912, 0.000, 2.912], [2.912, 2.912, 0.000]], "species": ["Li", "Cu", "Si", "Tc"], "frac_coords": [[0.000, 0.000, 0.000], [0.500, 0.500, 0.500], [0.250, 0.250, 0.250], [0.750, 0.750, 0.750]]}

=====

> Which formula does entry 1 have?

CsUIr